Compound: YB3Pb
Source: Alexandria via LeMat-Bulk
Functional: PBE
Structure: relaxed

## Properties
Calculated volume in Å³ per cell: 96
Excess energy over the best structure of this formula in the dataset in meV/atom: 0
VASP energy in eV per cell: -21.1
Formation energy from the elements in eV/atom: 1.83
Fermi-level density of states in states/eV/f.u.: 3.28

Cell: 4.5812 4.5812 4.5812 Å, 90.00 90.00 90.00°
Last column: nearest neighbours and their distance in Å.
Element x y z (fractional)
Pb: 0.0000 0.0000 0.0000  6 B 2.29
B: 0.0000 0.0000 0.5000  2 Pb 2.29
B: 0.0000 0.5000 0.0000  2 Pb 2.29
B: 0.5000 0.0000 0.0000  2 Pb 2.29
Y: 0.5000 0.5000 0.5000  12 B 3.24